## NaCa2LaHg4 (GGA-PBE)

Data for NaCa2LaHg4 after structural relaxation.

Calculated values
- total magnetization (μB per cell) = 0.00
- calculated formation energy (eV/atom) = -0.464
- D(E_F) (states/eV/atom) = 0.495
- space group = R-3m

Structure (POSCAR):
```
NaCa2LaHg4
1.0
2.6795 1.5470 8.9197
-2.6795 1.5470 8.9197
0.0000 -3.0940 8.9197
Na Ca La Hg
1 2 1 4
Direct
0.0000 0.0000 0.0000
0.2545 0.2545 0.2545
0.7455 0.7455 0.7455
0.5000 0.5000 0.5000
0.1244 0.1244 0.1244
0.3758 0.3758 0.3758
0.6242 0.6242 0.6242
0.8756 0.8756 0.8756
```